## Ac19Tl4Ir6 (PBE-GGA)

Data for a relaxed structure of Ac19Tl4Ir6.

Calculated values
- E (eV/atom) = -5.25
- V (A^3/atom) = 37.8
- calculated formation energy (eV per formula unit) = -11.629
- total moment (μB per formula unit) = 0.0

Structure (CIF):
```
data_Ac19Tl4Ir6
_space_group_name_H-M_alt 'P 1'
_space_group_IT_number 1
_cell_length_a 11.246
_cell_length_b 11.246
_cell_length_c 11.246
_cell_angle_alpha 109.47
_cell_angle_beta 109.47
_cell_angle_gamma 109.47
loop_
_space_group_symop_operation_xyz
'x,y,z'
loop_
_atom_site_label
_atom_site_fract_x
_atom_site_fract_y
_atom_site_fract_z
Tl1 0.680 0.000 0.000
Ir1 0.820 0.320 0.500
Ac1 0.647 0.647 0.000
Tl2 0.320 0.320 0.320
Ac2 0.984 0.756 0.339
Ac3 0.000 0.647 0.647
Ac4 0.016 0.354 0.772
Ac5 0.354 0.772 0.016
Ir2 0.680 0.500 0.180
Ac6 0.646 0.661 0.417
Ac7 0.756 0.339 0.984
Ac8 0.353 0.000 0.353
Ir3 0.500 0.820 0.320
Ir4 0.180 0.680 0.500
Ac9 0.661 0.417 0.646
Ac10 0.583 0.244 0.228
Ac11 0.772 0.016 0.354
Ac12 0.339 0.984 0.756
Ac13 0.000 0.353 0.353
Tl3 0.000 0.000 0.680
Ac14 0.417 0.646 0.661
Ir5 0.320 0.500 0.820
Ac15 0.000 0.000 0.000
Ac16 0.228 0.583 0.244
Ac17 0.244 0.228 0.583
Ir6 0.500 0.180 0.680
Ac18 0.353 0.353 0.000
Ac19 0.647 0.000 0.647
Tl4 0.000 0.680 0.000
```


## Tm2MnNi3 (PBE-GGA)

Data for a relaxed structure of Tm2MnNi3.

Calculated values
- E (eV/atom) = -6.28
- V (A^3/atom) = 15.6
- energy above the lowest structure with this stoichiometry (meV per atom) = 0
- calculated formation energy (eV per formula unit) = -2.203
- total moment (μB per formula unit) = 3.3

Structure (CIF):
```
data_Tm2MnNi3
_space_group_name_H-M_alt 'P 1'
_space_group_IT_number 1
_cell_length_a 5.159
_cell_length_b 5.159
_cell_length_c 8.130
_cell_angle_alpha 90.00
_cell_angle_beta 90.00
_cell_angle_gamma 120.00
loop_
_space_group_symop_operation_xyz
'x,y,z'
loop_
_atom_site_label
_atom_site_fract_x
_atom_site_fract_y
_atom_site_fract_z
Ni1 0.832 0.168 0.750
Tm1 0.333 0.667 0.562
Ni2 0.337 0.168 0.750
Ni3 0.832 0.663 0.750
Ni4 0.168 0.832 0.250
Mn1 0.000 0.000 0.500
Ni5 0.168 0.337 0.250
Tm2 0.333 0.667 0.938
Tm3 0.667 0.333 0.438
Mn2 0.000 0.000 0.000
Ni6 0.663 0.832 0.250
Tm4 0.667 0.333 0.062
```


## La2GdBi (PBE-GGA)

Data for a relaxed structure of La2GdBi.

Calculated values
- E (eV/atom) = -7.39
- V (A^3/atom) = 33.7
- energy above the lowest structure with this stoichiometry (meV per atom) = 37
- calculated formation energy (eV per formula unit) = -1.731
- total moment (μB per formula unit) = 8.4

Structure (CIF):
```
data_La2GdBi
_space_group_name_H-M_alt 'P 1'
_space_group_IT_number 1
_cell_length_a 4.316
_cell_length_b 4.316
_cell_length_c 7.241
_cell_angle_alpha 90.00
_cell_angle_beta 90.00
_cell_angle_gamma 90.00
loop_
_space_group_symop_operation_xyz
'x,y,z'
loop_
_atom_site_label
_atom_site_fract_x
_atom_site_fract_y
_atom_site_fract_z
Gd1 0.500 0.500 0.500
La1 0.000 0.000 0.226
Bi1 0.500 0.500 0.000
La2 0.000 0.000 0.774
```


## K3Th3AgSe8 (PBE-GGA)

Data for a relaxed structure of K3Th3AgSe8.

Calculated values
- E (eV/atom) = -5.19
- V (A^3/atom) = 33.1
- total moment (μB per formula unit) = 0.0

Structure (CIF):
```
data_K3Th3AgSe8
_space_group_name_H-M_alt 'P 1'
_space_group_IT_number 1
_cell_length_a 8.607
_cell_length_b 8.605
_cell_length_c 9.187
_cell_angle_alpha 117.91
_cell_angle_beta 90.00
_cell_angle_gamma 120.00
loop_
_space_group_symop_operation_xyz
'x,y,z'
loop_
_atom_site_label
_atom_site_fract_x
_atom_site_fract_y
_atom_site_fract_z
Th1 0.000 0.500 0.500
Ag1 0.000 0.000 0.500
Se1 0.759 0.518 0.297
K1 0.000 0.500 0.000
Se2 0.759 0.038 0.297
Se3 0.279 0.038 0.297
Se4 0.262 0.524 0.285
Se5 0.738 0.476 0.715
Se6 0.721 0.962 0.703
K2 0.500 0.500 0.000
Se7 0.241 0.962 0.703
Th2 0.500 0.000 0.500
Th3 0.500 0.500 0.500
K3 0.000 0.000 0.000
Se8 0.241 0.482 0.703
```


## KCa2Tm (PBE-GGA)

Data for a relaxed structure of KCa2Tm.

Calculated values
- E (eV/atom) = -2.22
- V (A^3/atom) = 43.4
- calculated formation energy (eV per formula unit) = 0.710
- total moment (μB per formula unit) = 0.6

Structure (CIF):
```
data_KCa2Tm
_space_group_name_H-M_alt 'P 1'
_space_group_IT_number 1
_cell_length_a 3.817
_cell_length_b 3.817
_cell_length_c 11.917
_cell_angle_alpha 90.00
_cell_angle_beta 90.00
_cell_angle_gamma 90.00
loop_
_space_group_symop_operation_xyz
'x,y,z'
loop_
_atom_site_label
_atom_site_fract_x
_atom_site_fract_y
_atom_site_fract_z
Tm1 0.500 0.500 0.000
K1 0.500 0.500 0.500
Ca1 0.000 0.000 0.792
Ca2 0.000 0.000 0.208
```


## Na2MnAsS4 (PBE-GGA)

Data for a relaxed structure of Na2MnAsS4.

Calculated values
- E (eV/atom) = -4.76
- V (A^3/atom) = 20.8
- total moment (μB per formula unit) = 4.0

Structure (CIF):
```
data_Na2MnAsS4
_space_group_name_H-M_alt 'P 1'
_space_group_IT_number 1
_cell_length_a 6.487
_cell_length_b 6.932
_cell_length_c 6.640
_cell_angle_alpha 131.63
_cell_angle_beta 129.80
_cell_angle_gamma 73.04
loop_
_space_group_symop_operation_xyz
'x,y,z'
loop_
_atom_site_label
_atom_site_fract_x
_atom_site_fract_y
_atom_site_fract_z
S1 0.610 0.553 0.631
S2 0.021 0.079 0.632
Na1 0.535 0.035 0.069
S3 0.320 0.761 0.154
As1 0.768 0.768 0.537
S4 0.834 0.393 0.154
Na2 0.289 0.289 0.577
Mn1 0.010 0.510 0.020
```